Material: ZrRu2
Method: DFT, PBE
State: relaxed

Energy (eV/atom): -9.247
ΔH_f (0 K) (eV/f.u.): -0.6
N(E_F) (states/eV per cell): 16.4

a b c (Å): 5.5063 4.3752 8.1679
angles (deg): 90.00 90.00 90.00
Space group Pnma (No. 62)
Asymmetric unit:
Zr: 0.1761 0.2500 0.1054 (multiplicity 4)
Ru: 0.0445 0.2500 0.7595 (multiplicity 4)
Ru: 0.1698 0.2500 0.4396 (multiplicity 4)